[1]
First-principles (PBEsol) data for MgZnCd after structural relaxation, as listed in the Alexandria database.

Cell: 3.066 3.066 11.852 Å, 90.00 90.00 90.00°
Space group I4mm (No. 107)
Asymmetric unit:
Mg  0.000  0.000  0.000 x2
Zn  0.000  0.000  0.656 x2
Cd  0.000  0.000  0.316 x2

Calculated values
Energy in eV/atom: -1.5268
Density of states at the Fermi level in states/eV/atom: 0.3281
Energy relative to the elements in meV per atom: -28
Distance to the lowest polymorph of the same formula in eV per atom: 0.0227

=====

[2]
First-principles (PBEsol) data for NbSiNi after structural relaxation, as listed in the Alexandria database.

Cell: 3.769 6.294 6.763 Å, 90.00 90.00 90.00°
Space group Imm2 (No. 44)
Asymmetric unit:
Nb  0.000  0.000  0.000 x2
Nb  0.000  0.500  0.092 x2
Si  0.000  0.284  0.704 x4
Ni  0.000  0.194  0.378 x4

Calculated values
Energy in eV/atom: -8.2939
Density of states at the Fermi level in states/eV/atom: 0.3774
ΔE_f (raw) in eV/f.u.: -2.156

=====

[3]
First-principles (PBEsol) data for FeCu2Pt after structural relaxation, as listed in the Alexandria database.

Cell: 5.124 7.293 2.680 Å, 90.00 90.00 90.00°
Space group Cmmm (No. 65)
Asymmetric unit:
Fe  0.000  0.000  0.000 x2
Cu  0.250  0.250  0.500 x4
Pt  0.000  0.500  0.000 x2

Calculated values
Energy in eV/atom: -6.1069
Density of states at the Fermi level in states/eV/atom: 0.8067
Energy relative to the elements in meV per atom: 42

=====

[4]
First-principles (PBEsol) data for ScCd2Hg after structural relaxation, as listed in the Alexandria database.

Cell: 3.201 3.201 8.024 Å, 90.00 90.00 90.00°
Space group P4mm (No. 99)
Asymmetric unit:
Sc  0.000  0.000  0.000 x1
Cd  0.000  0.000  0.506 x1
Cd  0.500  0.500  0.257 x1
Hg  0.500  0.500  0.760 x1

Calculated values
Energy in eV/atom: -2.6403
Density of states at the Fermi level in states/eV/atom: 0.5707
Energy relative to the elements in meV per atom: -249

=====

[5]
First-principles (PBEsol) data for HfOsRh3 after structural relaxation, as listed in the Alexandria database.

Cell: 4.606 4.606 4.606 Å, 90.00 90.00 90.00°
Space group Pm-3m (No. 221)
Asymmetric unit:
Hf  0.000  0.000  0.000 x1
Os  0.500  0.500  0.500 x1
Rh  0.000  0.500  0.500 x3

Calculated values
Energy in eV/atom: -8.2759
Density of states at the Fermi level in states/eV/atom: 1.1600
Energy relative to the elements in meV per atom: 1151

=====

[6]
First-principles (PBEsol) data for YTiPt3 after structural relaxation, as listed in the Alexandria database.

Cell: 4.925 4.925 4.925 Å, 90.00 90.00 90.00°
Space group Pm-3m (No. 221)
Asymmetric unit:
Y  0.000  0.000  0.000 x1
Ti  0.500  0.500  0.500 x1
Pt  0.000  0.000  0.500 x3

Calculated values
Energy in eV/atom: -6.2268
Density of states at the Fermi level in states/eV/atom: 1.3907
Energy relative to the elements in meV per atom: 980
Distance to the lowest polymorph of the same formula in eV per atom: 1.2537

=====

[7]
First-principles (PBEsol) data for K2HgPt after structural relaxation, as listed in the Alexandria database.

Cell: 4.632 4.730 11.588 Å, 90.00 90.00 90.00°
Space group Amm2 (No. 38)
Asymmetric unit:
K  0.000  0.000  0.000 x2
K  0.500  0.000  0.292 x2
Hg  0.500  0.000  0.589 x2
Pt  0.000  0.000  0.707 x2

Calculated values
Energy in eV/atom: -2.4813
Density of states at the Fermi level in states/eV/atom: 0.3003
Energy relative to the elements in meV per atom: -32

=====

[8]
First-principles (PBEsol) data for Zr2ScZn after structural relaxation, as listed in the Alexandria database.

Cell: 4.196 4.196 8.939 Å, 90.00 90.00 90.00°
Space group I4/mmm (No. 139)
Asymmetric unit:
Zr  0.000  0.500  0.250 x4
Sc  0.000  0.000  0.000 x2
Zn  0.000  0.000  0.500 x2

Calculated values
Energy in eV/atom: -6.7024
Density of states at the Fermi level in states/eV/atom: 1.1642
Energy relative to the elements in meV per atom: -111

=====

[9]
First-principles (PBEsol) data for ScFe2Ni after structural relaxation, as listed in the Alexandria database.

Cell: 4.984 8.342 2.624 Å, 90.00 112.09 90.00°
Space group C2/m (No. 12)
Asymmetric unit:
Sc  0.000  0.000  0.000 x2
Fe  0.250  0.250  0.500 x4
Ni  0.000  0.500  0.000 x2

Calculated values
Energy in eV/atom: -7.5945
Density of states at the Fermi level in states/eV/atom: 0.9364
Energy relative to the elements in meV per atom: 78

=====

[10]
First-principles (PBEsol) data for ZrCuSb2Te after structural relaxation, as listed in the Alexandria database.

Cell: 4.929 4.929 5.078 Å, 90.00 90.00 90.00°
Space group P4/mmm (No. 123)
Asymmetric unit:
Zr  0.000  0.000  0.000 x1
Cu  0.500  0.500  0.500 x1
Sb  0.000  0.500  0.500 x2
Te  0.500  0.500  0.000 x1

Calculated values
Energy in eV/atom: -4.7948
Density of states at the Fermi level in states/eV/atom: 0.8964
ΔE_f (raw) in eV/f.u.: 2.091

=====

[11]
First-principles (PBEsol) data for K2TlW after structural relaxation, as listed in the Alexandria database.

Cell: 5.879 11.769 2.927 Å, 90.00 90.00 90.00°
Space group Cmmm (No. 65)
Asymmetric unit:
K  0.250  0.250  0.000 x4
Tl  0.000  0.000  0.500 x2
W  0.000  0.500  0.500 x2

Calculated values
Energy in eV/atom: -3.4297
Density of states at the Fermi level in states/eV/atom: 0.9271
Energy relative to the elements in meV per atom: 1246
Distance to the lowest polymorph of the same formula in eV per atom: 0.1164

=====

[12]
First-principles (PBEsol) data for BeAl2CdBi after structural relaxation, as listed in the Alexandria database.

Cell: 5.545 5.545 5.592 Å, 90.00 90.00 90.00°
Space group P4/mmm (No. 123)
Asymmetric unit:
Be  0.000  0.000  0.000 x1
Al  0.000  0.500  0.500 x2
Cd  0.500  0.500  0.000 x1
Bi  0.500  0.500  0.500 x1

Calculated values
Energy in eV/atom: -2.1142
Density of states at the Fermi level in states/eV/atom: 0.5510
Energy relative to the elements in meV per atom: 1419

=====

[13]
First-principles (PBEsol) data for LiAsSeBr2 after structural relaxation, as listed in the Alexandria database.

Cell: 4.653 4.653 4.896 Å, 90.00 90.00 90.00°
Space group P4/mmm (No. 123)
Asymmetric unit:
Li  0.000  0.000  0.000 x1
As  0.500  0.500  0.500 x1
Se  0.000  0.000  0.500 x1
Br  0.000  0.500  0.000 x2

Calculated values
Energy in eV/atom: -2.8300
Density of states at the Fermi level in states/eV/atom: 0.8523
ΔE_f (raw) in eV/f.u.: 0.513

=====

[14]
First-principles (PBEsol) data for Zr2Sb after structural relaxation, as listed in the Alexandria database.

Cell: 7.6287 7.6287 3.9493 Å, 90.00 90.00 120.00°
Space group P-62m (No. 189)
Asymmetric unit:
Zr  0.0000  0.4065  0.0000 x3
Zr  0.0000  0.7416  0.5000 x3
Sb  0.0000  0.0000  0.0000 x1
Sb  0.3333  0.6667  0.5000 x2

Calculated values
Energy in eV/atom: -8.2368
Density of states at the Fermi level in states/eV/atom: 0.8149
ΔE_f (raw) in eV/f.u.: -1.974

=====

[15]
First-principles (PBEsol) data for Be2TeP after structural relaxation, as listed in the Alexandria database.

Cell: 3.554 3.554 5.431 Å, 90.00 90.00 90.00°
Space group P4mm (No. 99)
Asymmetric unit:
Be  0.000  0.500  0.000 x2
Te  0.000  0.000  0.671 x1
P  0.500  0.500  0.221 x1

Calculated values
Energy in eV/atom: -4.3841
Density of states at the Fermi level in states/eV/atom: 0.3245
ΔE_f (raw) in eV/f.u.: -0.219
Distance to the lowest polymorph of the same formula in eV per atom: 0.0536

=====

[16]
First-principles (PBEsol) data for LiBe2Cd after structural relaxation, as listed in the Alexandria database.

Cell: 2.904 2.993 5.651 Å, 90.00 90.00 90.00°
Space group Pmmm (No. 47)
Asymmetric unit:
Li  0.000  0.000  0.000 x1
Be  0.500  0.500  0.210 x2
Cd  0.000  0.000  0.500 x1

Calculated values
Energy in eV/atom: -2.5193
Density of states at the Fermi level in states/eV/atom: 0.2271
Energy relative to the elements in meV per atom: 272

=====

[17]
First-principles (PBEsol) data for ReTc2SBr after structural relaxation, as listed in the Alexandria database.

Cell: 4.758 4.758 4.697 Å, 90.00 90.00 90.00°
Space group P4/mmm (No. 123)
Asymmetric unit:
Re  0.000  0.000  0.000 x1
Tc  0.000  0.500  0.000 x2
S  0.500  0.500  0.500 x1
Br  0.000  0.000  0.500 x1

Calculated values
Energy in eV/atom: -6.5812
Density of states at the Fermi level in states/eV/atom: 1.0627
ΔE_f (raw) in eV/f.u.: 9.213

=====

[18]
First-principles (PBEsol) data for SrTiBr2 after structural relaxation, as listed in the Alexandria database.

Cell: 5.422 5.422 16.634 Å, 90.00 90.00 90.00°
Space group I-42d (No. 122)
Asymmetric unit:
Sr  0.000  0.000  0.000 x4
Ti  0.000  0.000  0.500 x4
Br  0.194  0.250  0.625 x8

Calculated values
Energy in eV/atom: -4.0872
Density of states at the Fermi level in states/eV/atom: 0.7587
ΔE_f (raw) in eV/f.u.: -2.446

=====

[19]
First-principles (PBEsol) data for Rb2YCuCl6 after structural relaxation, as listed in the Alexandria database.

Cell: 10.155 10.155 10.155 Å, 90.00 90.00 90.00°
Space group Fm-3m (No. 225)
Asymmetric unit:
Rb  0.250  0.250  0.250 x8
Y  0.000  0.000  0.000 x4
Cu  0.000  0.000  0.500 x4
Cl  0.000  0.000  0.256 x24

Calculated values
Energy in eV/atom: -4.2991
Density of states at the Fermi level in states/eV/atom: 0.0000
ΔE_f (raw) in eV/f.u.: -17.737

=====

[20]
First-principles (PBEsol) data for Cd2AgRh after structural relaxation, as listed in the Alexandria database.

Cell: 10.167 3.036 4.731 Å, 90.00 111.89 90.00°
Space group Cm (No. 8)
Asymmetric unit:
Cd  0.000  0.000  0.000 x2
Cd  0.236  0.000  0.623 x2
Ag  0.483  0.000  0.485 x2
Rh  0.243  0.500  0.121 x2

Calculated values
Energy in eV/atom: -3.5018
Density of states at the Fermi level in states/eV/atom: 0.3765
Energy relative to the elements in meV per atom: -41
Distance to the lowest polymorph of the same formula in eV per atom: 0.0721